Arrangement a

Compound: BeBi3Pb
Source: the Alexandria database
Functional: GGA-PBE
Structure: optimized geometry

```
data_BeBi3Pb
_chemical_formula_sum 'Be1 Bi3 Pb1'
_cell_length_a 5.237
_cell_length_b 5.237
_cell_length_c 5.237
_cell_angle_alpha 90.00
_cell_angle_beta 90.00
_cell_angle_gamma 90.00
_space_group_name_H-M_alt 'P m -3 m'
_space_group_IT_number 221
_space_group_name_Hall '-P 4 2 3'
loop_
_atom_site_label
_atom_site_type_symbol
_atom_site_fract_x
_atom_site_fract_y
_atom_site_fract_z
Be1 Be 0.000 0.000 0.000
Bi1 Bi 0.000 0.000 0.500
Pb1 Pb 0.500 0.500 0.500
```

Output
Fermi-level density of states (states/eV/atom): 0.6896
Magnetization (μB per atom): 0.00

Arrangement b

Compound: BeBi3Pb
Source: the Alexandria database
Functional: GGA-PBE
Structure: optimized geometry

```
data_BeBi3Pb
_chemical_formula_sum 'Be1 Bi3 Pb1'
_cell_length_a 5.956
_cell_length_b 5.956
_cell_length_c 5.956
_cell_angle_alpha 90.00
_cell_angle_beta 90.00
_cell_angle_gamma 90.00
_space_group_name_H-M_alt 'P m -3 m'
_space_group_IT_number 221
_space_group_name_Hall '-P 4 2 3'
loop_
_atom_site_label
_atom_site_type_symbol
_atom_site_fract_x
_atom_site_fract_y
_atom_site_fract_z
Be1 Be 0.000 0.000 0.000
Bi1 Bi 0.000 0.500 0.500
Pb1 Pb 0.500 0.500 0.500
```

Output
Fermi-level density of states (states/eV/atom): 1.5298
Magnetization (μB per atom): 0.00

Winner for stability: arrangement a

Arrangement a

Compound: BeBiPb2
Source: the Alexandria database
Functional: GGA-PBE
Structure: optimized geometry

```
data_BeBiPb2
_chemical_formula_sum 'Be4 Bi4 Pb8'
_cell_length_a 7.628
_cell_length_b 7.628
_cell_length_c 7.628
_cell_angle_alpha 90.00
_cell_angle_beta 90.00
_cell_angle_gamma 90.00
_space_group_name_H-M_alt 'F m -3 m'
_space_group_IT_number 225
_space_group_name_Hall '-F 4 2 3'
loop_
_atom_site_label
_atom_site_type_symbol
_atom_site_fract_x
_atom_site_fract_y
_atom_site_fract_z
Be1 Be 0.000 0.000 0.000
Bi1 Bi 0.000 0.000 0.500
Pb1 Pb 0.250 0.250 0.250
```

Output
Fermi-level density of states (states/eV/atom): 0.6235
Magnetization (μB per atom): 0.00

Arrangement b

Compound: BeBiPb2
Source: the Alexandria database
Functional: GGA-PBE
Structure: optimized geometry

```
data_BeBiPb2
_chemical_formula_sum 'Be4 Bi4 Pb8'
_cell_length_a 6.199
_cell_length_b 6.199
_cell_length_c 13.548
_cell_angle_alpha 90.00
_cell_angle_beta 90.00
_cell_angle_gamma 90.00
_space_group_name_H-M_alt 'I -4 2 d'
_space_group_IT_number 122
_space_group_name_Hall 'I -4 2bw'
loop_
_atom_site_label
_atom_site_type_symbol
_atom_site_fract_x
_atom_site_fract_y
_atom_site_fract_z
Be1 Be 0.000 0.000 0.000
Bi1 Bi 0.000 0.000 0.500
Pb1 Pb 0.168 0.250 0.125
```

Output
Fermi-level density of states (states/eV/atom): 0.4504
Magnetization (μB per atom): 0.00

Winner for stability: arrangement b

Arrangement a

Compound: BeBi2Pd2
Source: the Alexandria database
Functional: GGA-PBE
Structure: optimized geometry

```
data_BeBi2Pd2
_chemical_formula_sum 'Be2 Bi4 Pd4'
_cell_length_a 7.276
_cell_length_b 7.276
_cell_length_c 4.048
_cell_angle_alpha 90.00
_cell_angle_beta 90.00
_cell_angle_gamma 90.00
_space_group_name_H-M_alt 'P 4/m b m'
_space_group_IT_number 127
_space_group_name_Hall '-P 4 2ab'
loop_
_atom_site_label
_atom_site_type_symbol
_atom_site_fract_x
_atom_site_fract_y
_atom_site_fract_z
Be1 Be 0.000 0.000 0.000
Bi1 Bi 0.167 0.333 0.000
Pd1 Pd 0.136 0.636 0.500
```

Output
Fermi-level density of states (states/eV/atom): 0.5739
Magnetization (μB per atom): 0.00

Arrangement b

Compound: BeBi2Pd2
Source: the Alexandria database
Functional: GGA-PBE
Structure: optimized geometry

```
data_BeBi2Pd2
_chemical_formula_sum 'Be2 Bi4 Pd4'
_cell_length_a 6.389
_cell_length_b 6.389
_cell_length_c 4.920
_cell_angle_alpha 90.00
_cell_angle_beta 90.00
_cell_angle_gamma 90.00
_space_group_name_H-M_alt 'P 4/m b m'
_space_group_IT_number 127
_space_group_name_Hall '-P 4 2ab'
loop_
_atom_site_label
_atom_site_type_symbol
_atom_site_fract_x
_atom_site_fract_y
_atom_site_fract_z
Be1 Be 0.000 0.000 0.000
Bi1 Bi 0.179 0.321 0.500
Pd1 Pd 0.158 0.658 0.000
```

Output
Fermi-level density of states (states/eV/atom): 0.2110
Magnetization (μB per atom): 0.00

Arrangement c

Compound: BeBi2Pd2
Source: the Alexandria database
Functional: GGA-PBE
Structure: optimized geometry

```
data_BeBi2Pd2
_chemical_formula_sum 'Be2 Bi4 Pd4'
_cell_length_a 3.786
_cell_length_b 3.786
_cell_length_c 15.285
_cell_angle_alpha 90.00
_cell_angle_beta 90.00
_cell_angle_gamma 90.00
_space_group_name_H-M_alt 'I 4/m m m'
_space_group_IT_number 139
_space_group_name_Hall '-I 4 2'
loop_
_atom_site_label
_atom_site_type_symbol
_atom_site_fract_x
_atom_site_fract_y
_atom_site_fract_z
Be1 Be 0.000 0.000 0.000
Bi1 Bi 0.000 0.000 0.392
Pd1 Pd 0.000 0.500 0.250
```

Output
Fermi-level density of states (states/eV/atom): 0.5053
Magnetization (μB per atom): 0.00

Winner for stability: arrangement b

Arrangement a

Compound: Be2BiPd2
Source: the Alexandria database
Functional: GGA-PBE
Structure: optimized geometry

```
data_Be2BiPd2
_chemical_formula_sum 'Be4 Bi2 Pd4'
_cell_length_a 6.992
_cell_length_b 6.992
_cell_length_c 3.114
_cell_angle_alpha 90.00
_cell_angle_beta 90.00
_cell_angle_gamma 90.00
_space_group_name_H-M_alt 'P 4/m b m'
_space_group_IT_number 127
_space_group_name_Hall '-P 4 2ab'
loop_
_atom_site_label
_atom_site_type_symbol
_atom_site_fract_x
_atom_site_fract_y
_atom_site_fract_z
Be1 Be 0.114 0.386 0.000
Bi1 Bi 0.000 0.000 0.000
Pd1 Pd 0.149 0.649 0.500
```

Output
Fermi-level density of states (states/eV/atom): 0.3366
Magnetization (μB per atom): 0.00

Arrangement b

Compound: Be2BiPd2
Source: the Alexandria database
Functional: GGA-PBE
Structure: optimized geometry

```
data_Be2BiPd2
_chemical_formula_sum 'Be4 Bi2 Pd4'
_cell_length_a 7.253
_cell_length_b 7.253
_cell_length_c 2.947
_cell_angle_alpha 90.00
_cell_angle_beta 90.00
_cell_angle_gamma 90.00
_space_group_name_H-M_alt 'P 4/m b m'
_space_group_IT_number 127
_space_group_name_Hall '-P 4 2ab'
loop_
_atom_site_label
_atom_site_type_symbol
_atom_site_fract_x
_atom_site_fract_y
_atom_site_fract_z
Be1 Be 0.126 0.374 0.000
Bi1 Bi 0.000 0.000 0.500
Pd1 Pd 0.142 0.642 0.500
```

Output
Fermi-level density of states (states/eV/atom): 0.2705
Magnetization (μB per atom): 0.00

Arrangement c

Compound: Be2BiPd2
Source: the Alexandria database
Functional: GGA-PBE
Structure: optimized geometry

```
data_Be2BiPd2
_chemical_formula_sum 'Be4 Bi2 Pd4'
_cell_length_a 4.049
_cell_length_b 4.049
_cell_length_c 9.669
_cell_angle_alpha 90.00
_cell_angle_beta 90.00
_cell_angle_gamma 90.00
_space_group_name_H-M_alt 'I 4/m m m'
_space_group_IT_number 139
_space_group_name_Hall '-I 4 2'
loop_
_atom_site_label
_atom_site_type_symbol
_atom_site_fract_x
_atom_site_fract_y
_atom_site_fract_z
Be1 Be 0.000 0.000 0.129
Bi1 Bi 0.000 0.000 0.500
Pd1 Pd 0.000 0.500 0.250
```

Output
Fermi-level density of states (states/eV/atom): 0.3779
Magnetization (μB per atom): 0.00

Winner for stability: arrangement a

Arrangement a

Compound: Be3BiPd
Source: the Alexandria database
Functional: GGA-PBE
Structure: optimized geometry

```
data_Be3BiPd
_chemical_formula_sum 'Be3 Bi1 Pd1'
_cell_length_a 4.359
_cell_length_b 4.359
_cell_length_c 4.359
_cell_angle_alpha 90.00
_cell_angle_beta 90.00
_cell_angle_gamma 90.00
_space_group_name_H-M_alt 'P m -3 m'
_space_group_IT_number 221
_space_group_name_Hall '-P 4 2 3'
loop_
_atom_site_label
_atom_site_type_symbol
_atom_site_fract_x
_atom_site_fract_y
_atom_site_fract_z
Be1 Be 0.000 0.000 0.500
Bi1 Bi 0.500 0.500 0.500
Pd1 Pd 0.000 0.000 0.000
```

Output
Fermi-level density of states (states/eV/atom): 0.2682
Magnetization (μB per atom): 0.00

Arrangement b

Compound: Be3BiPd
Source: the Alexandria database
Functional: GGA-PBE
Structure: optimized geometry

```
data_Be3BiPd
_chemical_formula_sum 'Be3 Bi1 Pd1'
_cell_length_a 4.662
_cell_length_b 4.662
_cell_length_c 4.662
_cell_angle_alpha 90.00
_cell_angle_beta 90.00
_cell_angle_gamma 90.00
_space_group_name_H-M_alt 'P m -3 m'
_space_group_IT_number 221
_space_group_name_Hall '-P 4 2 3'
loop_
_atom_site_label
_atom_site_type_symbol
_atom_site_fract_x
_atom_site_fract_y
_atom_site_fract_z
Be1 Be 0.000 0.000 0.500
Bi1 Bi 0.000 0.000 0.000
Pd1 Pd 0.500 0.500 0.500
```

Output
Fermi-level density of states (states/eV/atom): 0.6565
Magnetization (μB per atom): 0.00

Winner for stability: arrangement a

Arrangement a

Compound: Be3BiPt
Source: the Alexandria database
Functional: GGA-PBE
Structure: optimized geometry

```
data_Be3BiPt
_chemical_formula_sum 'Be3 Bi1 Pt1'
_cell_length_a 4.606
_cell_length_b 4.606
_cell_length_c 4.606
_cell_angle_alpha 90.00
_cell_angle_beta 90.00
_cell_angle_gamma 90.00
_space_group_name_H-M_alt 'P m -3 m'
_space_group_IT_number 221
_space_group_name_Hall '-P 4 2 3'
loop_
_atom_site_label
_atom_site_type_symbol
_atom_site_fract_x
_atom_site_fract_y
_atom_site_fract_z
Be1 Be 0.000 0.000 0.500
Bi1 Bi 0.000 0.000 0.000
Pt1 Pt 0.500 0.500 0.500
```

Output
Fermi-level density of states (states/eV/atom): 0.5975
Magnetization (μB per atom): 0.00

Arrangement b

Compound: Be3BiPt
Source: the Alexandria database
Functional: GGA-PBE
Structure: optimized geometry

```
data_Be3BiPt
_chemical_formula_sum 'Be3 Bi1 Pt1'
_cell_length_a 4.385
_cell_length_b 4.385
_cell_length_c 4.385
_cell_angle_alpha 90.00
_cell_angle_beta 90.00
_cell_angle_gamma 90.00
_space_group_name_H-M_alt 'P m -3 m'
_space_group_IT_number 221
_space_group_name_Hall '-P 4 2 3'
loop_
_atom_site_label
_atom_site_type_symbol
_atom_site_fract_x
_atom_site_fract_y
_atom_site_fract_z
Be1 Be 0.000 0.000 0.500
Bi1 Bi 0.500 0.500 0.500
Pt1 Pt 0.000 0.000 0.000
```

Output
Fermi-level density of states (states/eV/atom): 0.3418
Magnetization (μB per atom): 0.00

Winner for stability: arrangement b